No. 1
! GGA-PBEsol PtRh3, optimized geometry; values from VASP
&SYSTEM
  ibrav = 0, nat = 4, ntyp = 2
/
ATOMIC_SPECIES
Pt 195.08 Pt.upf
Rh 102.91 Rh.upf
ATOMIC_POSITIONS angstrom
Pt 0.000 0.000 0.000
Rh 1.349 2.222 0.775
Rh 1.349 0.000 2.334
Rh 0.000 2.192 3.109
CELL_PARAMETERS angstrom
-1.349 4.414 2.334
1.349 -4.414 2.334
1.349 4.414 -2.334
! - space-group type = Imm2 (44)
! - uncorrected energy (eV per cell) = -31.17
! - formation energy (eV per atom) = 0.05


No. 2
! GGA-PBEsol Pt4Rh, optimized geometry; values from VASP
&SYSTEM
  ibrav = 0, nat = 5, ntyp = 2
/
ATOMIC_SPECIES
Pt 195.08 Pt.upf
Rh 102.91 Rh.upf
ATOMIC_POSITIONS angstrom
Pt 1.832 0.617 0.000
Pt 2.453 -1.238 1.944
Pt 0.617 4.309 0.000
Pt 1.238 2.453 1.944
Rh 0.000 0.000 1.944
CELL_PARAMETERS angstrom
-3.071 3.071 1.944
3.071 -3.071 1.944
3.071 3.071 -1.944
! - space-group type = I4/m (87)
! - uncorrected energy (eV per cell) = -36.03
! - formation energy (eV per atom) = -0.01


No. 3
! GGA-PBEsol Pt3Rh, optimized geometry; values from VASP
&SYSTEM
  ibrav = 0, nat = 4, ntyp = 2
/
ATOMIC_SPECIES
Pt 195.08 Pt.upf
Rh 102.91 Rh.upf
ATOMIC_POSITIONS angstrom
Pt 0.000 0.000 1.939
Pt 0.000 1.939 0.000
Pt 1.939 0.000 0.000
Rh 1.939 1.939 1.939
CELL_PARAMETERS angstrom
3.878 0.000 0.000
0.000 3.878 0.000
0.000 0.000 3.878
! - space-group type = Pm-3m (221)
! - uncorrected energy (eV per cell) = -29.06
! - formation energy (eV per atom) = -0.01